Compound: Na3YTc
Source: Alexandria via LeMat-Bulk
Functional: PBE-GGA
Structure: optimized geometry

CIF file:
```
data_Na3YTc
_space_group_name_H-M_alt 'P m -3 m'
_space_group_IT_number 221
_space_group_name_Hall '-P 4 2 3'
_cell_length_a 5.290
_cell_length_b 5.290
_cell_length_c 5.290
_cell_angle_alpha 90.00
_cell_angle_beta 90.00
_cell_angle_gamma 90.00
loop_
_atom_site_label
_atom_site_type_symbol
_atom_site_fract_x
_atom_site_fract_y
_atom_site_fract_z
Na1 Na 0.000 0.000 0.500
Y1 Y 0.500 0.500 0.500
Tc1 Tc 0.000 0.000 0.000
```

Values from the calculation:
Raw total energy, eV/atom: -2.774
Theoretical density, g/cm³: 2.9
Distance to the lowest polymorph of the same formula, eV/atom: 0.000
DFT formation energy, eV per atom: 1.38